# Be2CdGaTe

A relaxed Be2CdGaTe crystal (PBE, Alexandria).

final energy: -2.090 eV/atom
energy relative to the elements, uncorrected: 0.818 eV per atom
N(E_F): 0.562 states/eV per atom
total moment: 0.000 μB per cell

Cell: 4.611 4.611 5.221 Å, 90.00 90.00 90.00°
Positions (direct):
Be: 0.000 0.500 0.000
Be: 0.500 0.000 0.000
Cd: 0.000 0.000 0.000
Ga: 0.000 0.000 0.500
Te: 0.500 0.500 0.500


# In2Sb2Au5

A relaxed In2Sb2Au5 crystal (PBE, Alexandria).

final energy: -3.424 eV/atom
energy relative to the elements, uncorrected: -0.078 eV per atom
N(E_F): 0.370 states/eV per atom
total moment: 0.000 μB per cell

Cell: 4.078 4.078 14.593 Å, 90.00 90.00 120.00°
Positions (direct):
In: 0.000 0.000 0.159
In: 0.000 0.000 0.841
Sb: 0.333 0.667 0.387
Sb: 0.667 0.333 0.613
Au: 0.000 0.000 0.500
Au: 0.333 0.667 0.052
Au: 0.333 0.667 0.726
Au: 0.667 0.333 0.274
Au: 0.667 0.333 0.948


# MnOsRu2

A relaxed MnOsRu2 crystal (PBE, Alexandria).

final energy: -9.593 eV/atom
formation enthalpy at 0 K: 145 meV/atom
N(E_F): 1.067 states/eV per atom
total moment: 2.863 μB per cell

Cell: 2.687 2.687 25.886 Å, 90.00 90.00 120.00°
Positions (direct):
Mn: 0.000 0.000 0.000
Mn: 0.333 0.667 0.667
Mn: 0.667 0.333 0.333
Os: 0.000 0.000 0.252
Os: 0.333 0.667 0.919
Os: 0.667 0.333 0.586
Ru: 0.000 0.000 0.500
Ru: 0.000 0.000 0.747
Ru: 0.333 0.667 0.166
Ru: 0.333 0.667 0.413
Ru: 0.667 0.333 0.080
Ru: 0.667 0.333 0.833


# LiFeGe

A relaxed LiFeGe crystal (PBE, Alexandria).

final energy: -5.128 eV/atom
formation enthalpy at 0 K: -130 meV/atom
N(E_F): 1.015 states/eV per atom
total moment: 0.001 μB per cell

Cell: 4.086 9.929 4.113 Å, 90.00 90.00 90.00°
Positions (direct):
Li: 0.000 0.077 0.250
Li: 0.000 0.923 0.750
Li: 0.500 0.423 0.750
Li: 0.500 0.577 0.250
Fe: 0.000 0.244 0.750
Fe: 0.000 0.756 0.250
Fe: 0.500 0.256 0.250
Fe: 0.500 0.744 0.750
Ge: 0.000 0.368 0.250
Ge: 0.000 0.632 0.750
Ge: 0.500 0.132 0.750
Ge: 0.500 0.868 0.250